# 1
First-principles (PBE) data for a relaxed structure of CsTbAlTe3, as listed in OQMD via LeMat-Bulk.

Properties
* polymorph energy (0 for the lowest one): 44 meV per atom

a b c (Å): 12.1019 5.1335 13.7023
angles (deg): 90.00 90.00 90.00
Closest atoms and distances in Å follow each position.
Element x y z (fractional)
Cs1 0.6777 0.7500 0.0078  8 Te 3.84-4.19, 3 Al 3.93-4.10
Cs2 0.1777 0.7500 0.4922  8 Te 3.84-4.19, 3 Al 3.93-4.10
Cs3 0.8223 0.2500 0.5078  8 Te 3.84-4.19, 3 Al 3.93-4.10
Cs4 0.3223 0.2500 0.9922  8 Te 3.84-4.19, 3 Al 3.93-4.10
Te1 0.5561 0.2500 0.1868  1 Al 2.70
Te2 0.7959 0.7500 0.2952  2 Al 2.76
Te3 0.4439 0.7500 0.8132  1 Al 2.70
Te4 0.0561 0.2500 0.3132  1 Al 2.70
Te5 0.5878 0.7500 0.5631  1 Al 2.76
Te6 0.0878 0.7500 0.9369  1 Al 2.76
Te7 0.2959 0.7500 0.2048  2 Al 2.76
Te8 0.9122 0.2500 0.0631  1 Al 2.76
Te9 0.7041 0.2500 0.7952  2 Al 2.76
Te10 0.2041 0.2500 0.7048  2 Al 2.76
Te11 0.4122 0.2500 0.4369  1 Al 2.76
Te12 0.9439 0.7500 0.6868  1 Al 2.70
Tb1 0.9709 0.2500 0.8273  7 Te 3.23-3.31
Tb2 0.4709 0.2500 0.6727  7 Te 3.23-3.31
Tb3 0.5291 0.7500 0.3273  7 Te 3.23-3.31
Tb4 0.0291 0.7500 0.1727  7 Te 3.23-3.31
Al1 0.7247 0.7500 0.7242  4 Te 2.70-2.76
Al2 0.2753 0.2500 0.2758  4 Te 2.70-2.76
Al3 0.2247 0.7500 0.7758  4 Te 2.70-2.76
Al4 0.7753 0.2500 0.2242  4 Te 2.70-2.76



# 2
First-principles (PBE) data for a relaxed structure of CsTbAlTe3, as listed in OQMD via LeMat-Bulk.

Properties
* polymorph energy (0 for the lowest one): 0 meV per atom

a b c (Å): 8.6423 8.6423 11.7308
angles (deg): 90.00 90.00 147.37
Closest atoms and distances in Å follow each position.
Element x y z (fractional)
Tb1 0.5000 0.5000 0.5000  6 Te 3.09-3.19
Tb2 0.5000 0.5000 0.0000  6 Te 3.09-3.19
Al1 0.9800 0.0200 0.2500  4 Te 2.72-2.75
Al2 0.0200 0.9800 0.7500  4 Te 2.72-2.75
Te1 0.8835 0.1165 0.0628  1 Al 2.72
Te2 0.1165 0.8835 0.9372  1 Al 2.72
Te3 0.4420 0.5580 0.7500  2 Al 2.75
Te4 0.8835 0.1165 0.4372  1 Al 2.72
Te5 0.1165 0.8835 0.5628  1 Al 2.72
Te6 0.5580 0.4420 0.2500  2 Al 2.75
Cs1 0.7542 0.2458 0.7500  8 Te 3.95-4.25, 1 Al 4.41
Cs2 0.2458 0.7542 0.2500  8 Te 3.95-4.25, 1 Al 4.41



Question: Among the records above, which one has the highest polymorph energy (0 for the lowest one)?
Answer: number 1